First-principles (PBE-GGA) data for an optimized crystal structure of Dy3ScAg4Se8, as listed in the Alexandria database.

The density comes out at 6919 kg/m³. As for the total magnetization: 0.000 μB per formula unit. The calculation puts the total energy at -4.84 eV per atom. As for the uncorrected formation energy: -1.128 eV per atom.

The space group is C2/m (No. 12) and the conventional cell measures 13.8206, 8.2474 and 8.0840 Å, with angles of 90.00, 123.78 and 90.00 degrees. The distinct sites, in fractional coordinates, are Dy at (0.0000, 0.0000, 0.0000), Dy at (0.2500, 0.2500, 0.5000), Sc at (0.0000, 0.5000, 0.0000), Ag at (0.0000, 0.0000, 0.5000), Ag at (0.0000, 0.5000, 0.5000), Ag at (0.2500, 0.2500, 0.0000), Se at (0.0002, 0.2578, 0.2401), Se at (0.2427, 0.5000, 0.2449) and Se at (0.2491, 0.0000, 0.2529).